Record 1
Crystalline KAl2Cl at its relaxed geometry, computed with PBE.

Cell and atoms, written as CIF:
```
data_KAl2Cl
_space_group_name_H-M_alt 'I -4 m 2'
_space_group_IT_number 119
_space_group_name_Hall 'I -4 -2'
_cell_length_a 4.868
_cell_length_b 4.868
_cell_length_c 8.755
_cell_angle_alpha 90.00
_cell_angle_beta 90.00
_cell_angle_gamma 90.00
loop_
_atom_site_label
_atom_site_fract_x
_atom_site_fract_y
_atom_site_fract_z
K1 0.000 0.000 0.000
Al1 0.000 0.000 0.500
Al2 0.000 0.500 0.750
Cl1 0.000 0.500 0.250
```

Summary:
Its polymorph energy (0 for the lowest one) is 1.88 eV/f.u. The final energy comes out at -2.58 eV per atom. The formation energy (no corrections) comes out at 0.023 eV/atom. As for the total moment: 0.0 μB per formula unit.

=====

Record 2
Crystalline PmPuMn2 at its relaxed geometry, computed with PBE.

Cell and atoms, written as CIF:
```
data_PmPuMn2
_space_group_name_H-M_alt 'P 4/m m m'
_space_group_IT_number 123
_space_group_name_Hall '-P 4 2'
_cell_length_a 3.441
_cell_length_b 3.441
_cell_length_c 6.933
_cell_angle_alpha 90.00
_cell_angle_beta 90.00
_cell_angle_gamma 90.00
loop_
_atom_site_label
_atom_site_fract_x
_atom_site_fract_y
_atom_site_fract_z
Pm1 0.000 0.000 0.000
Pu1 0.000 0.000 0.500
Mn1 0.500 0.500 0.300
```

Summary:
Its polymorph energy (0 for the lowest one) is 0.00 eV/f.u. The final energy comes out at -9.25 eV per atom. The calculation puts the energy relative to the elements at 0.106 eV/atom. As for the total moment: 0.0 μB per formula unit.

=====

Record 3
Crystalline BaAl3S at its relaxed geometry, computed with PBE.

Cell and atoms, written as CIF:
```
data_BaAl3S
_space_group_name_H-M_alt 'P m -3 m'
_space_group_IT_number 221
_space_group_name_Hall '-P 4 2 3'
_cell_length_a 5.145
_cell_length_b 5.145
_cell_length_c 5.145
_cell_angle_alpha 90.00
_cell_angle_beta 90.00
_cell_angle_gamma 90.00
loop_
_atom_site_label
_atom_site_fract_x
_atom_site_fract_y
_atom_site_fract_z
Ba1 0.000 0.000 0.000
Al1 0.000 0.500 0.500
S1 0.500 0.500 0.500
```

Summary:
Its polymorph energy (0 for the lowest one) is 0.00 eV/f.u. The final energy comes out at -3.29 eV per atom. The formation energy (no corrections) comes out at 0.168 eV/atom. As for the total moment: 0.0 μB per formula unit.

=====

Record 4
Crystalline CaIn3Au2 at its relaxed geometry, computed with PBE.

Cell and atoms, written as CIF:
```
data_CaIn3Au2
_space_group_name_H-M_alt 'P m c 21'
_space_group_IT_number 26
_space_group_name_Hall 'P 2c -2'
_cell_length_a 4.400
_cell_length_b 8.446
_cell_length_c 7.688
_cell_angle_alpha 90.00
_cell_angle_beta 90.00
_cell_angle_gamma 90.00
loop_
_atom_site_label
_atom_site_fract_x
_atom_site_fract_y
_atom_site_fract_z
Ca1 0.000 0.085 0.000
In1 0.000 0.310 0.605
In2 0.500 0.193 0.334
In3 0.500 0.412 0.942
Au1 0.000 0.384 0.229
Au2 0.500 0.121 0.711
```

Summary:
Its polymorph energy (0 for the lowest one) is 0.00 eV/f.u. The final energy comes out at -3.23 eV per atom. The calculation puts the energy relative to the elements at -0.438 eV/atom. As for the total moment: 0.0 μB per formula unit.